Entry 1:
VASP calculation (PBEsol) on a relaxed Li2InTc crystal.

a = 3.8074 Å, b = 3.8074 Å, c = 5.0977 Å
α = 111.93°, β = 111.93°, γ = 90.00°
Fractional positions:
In  0.0000  0.0000  0.0000
Li  0.7500  0.2500  0.5000
Li  0.2500  0.7500  0.5000
Tc  0.5000  0.5000  0.0000

Calculated values
Energy relative to the elements = 0.2452 eV/atom



Entry 2:
VASP calculation (PBEsol) on a relaxed Li2InTc crystal.

a = 2.6745 Å, b = 2.6745 Å, c = 8.9554 Å
α = 90.00°, β = 90.00°, γ = 90.00°
Fractional positions:
In  0.5000  0.5000  0.5000
Li  0.0000  0.0000  0.7661
Li  0.0000  0.0000  0.2339
Tc  0.5000  0.5000  0.0000

Calculated values
Energy relative to the elements = 0.2296 eV/atom



Entry 3:
VASP calculation (PBEsol) on a relaxed LiIn2Te crystal.

a = 3.9201 Å, b = 3.9201 Å, c = 6.4449 Å
α = 90.00°, β = 90.00°, γ = 90.00°
Fractional positions:
In  0.0000  0.0000  0.0097
In  0.5000  0.5000  0.2404
Li  0.0000  0.0000  0.5504
Te  0.5000  0.5000  0.6994

Calculated values
ΔE_f (raw) = -0.2820 eV/atom